No. 1
Density functional theory data (PBE) for an optimized crystal structure of ScGa2Tc.

```
data_ScGa2Tc
_chemical_formula_sum 'Sc2 Ga4 Tc2'
_cell_length_a 4.5596
_cell_length_b 5.9823
_cell_length_c 5.3783
_cell_angle_alpha 90.00
_cell_angle_beta 111.60
_cell_angle_gamma 90.00
_symmetry_space_group_name_H-M 'P 1 21/m 1'
_symmetry_Int_Tables_number 11
_symmetry_space_group_name_Hall '-P 2yb'
loop_
_atom_site_label
_atom_site_fract_x
_atom_site_fract_y
_atom_site_fract_z
_atom_site_occupancy
Sc1 0.0269 0.2500 0.1538 1
Ga1 0.4344 0.0387 0.7235 1
Tc1 0.0978 0.7500 0.3802 1
```

Results
**E above lowest polymorph**: 0 meV per atom
**Energy of formation**: -401 meV/atom

No. 2
Density functional theory data (PBE) for an optimized crystal structure of Al2SiNi4.

```
data_Al2SiNi4
_chemical_formula_sum 'Al8 Si4 Ni16'
_cell_length_a 6.6951
_cell_length_b 3.8653
_cell_length_c 14.5473
_cell_angle_alpha 90.00
_cell_angle_beta 90.08
_cell_angle_gamma 90.00
_symmetry_space_group_name_H-M 'C 1 2/m 1'
_symmetry_Int_Tables_number 12
_symmetry_space_group_name_Hall '-C 2y'
loop_
_atom_site_label
_atom_site_fract_x
_atom_site_fract_y
_atom_site_fract_z
_atom_site_occupancy
Al1 0.0005 0.0000 0.2539 1
Al2 0.1666 0.5000 0.8745 1
Si1 0.1673 0.5000 0.3800 1
Ni1 0.1660 0.5000 0.6983 1
Ni2 0.1666 0.5000 0.0402 1
Ni3 0.1670 0.5000 0.2091 1
Ni4 0.1667 0.5000 0.5380 1
```

Results
**Formation energy from raw total energies**: -0.2946 eV/atom
**E above lowest polymorph**: 213 meV per atom

No. 3
Density functional theory data (PBE) for an optimized crystal structure of SrPm2Zn6.

```
data_SrPm2Zn6
_chemical_formula_sum 'Sr1 Pm2 Zn6'
_cell_length_a 7.9495
_cell_length_b 7.9495
_cell_length_c 3.7034
_cell_angle_alpha 90.00
_cell_angle_beta 90.00
_cell_angle_gamma 120.00
_symmetry_space_group_name_H-M 'P 6/m m m'
_symmetry_Int_Tables_number 191
_symmetry_space_group_name_Hall '-P 6 2'
loop_
_atom_site_label
_atom_site_fract_x
_atom_site_fract_y
_atom_site_fract_z
_atom_site_occupancy
Sr1 0.0000 0.0000 0.0000 1
Pm1 0.3333 0.6667 0.0000 1
Zn1 0.0000 0.3372 0.5000 1
```

Results
**Energy of formation**: -296 meV/atom

The Fermi-level density of states results, record by record, are as follows: 4.128, 19.818, 7.988 states/eV per cell.
The raw total energy results, record by record, are as follows: -6.089, -5.442, -2.387 eV/atom.